# Dy2AsPPd6

Crystalline Dy2AsPPd6 at its relaxed geometry (GGA-PBE, Alexandria via LeMat-Bulk).

Cell: 5.533 8.707 7.974 Å, 90.00 90.00 90.00°
Space group Pmmn (No. 59, origin choice 2)
Inequivalent atoms, fractional coordinates:
1 Dy 0.250 0.007 0.242 [4 per cell]
2 As 0.250 0.750 0.774 [2 per cell]
3 P 0.250 0.250 0.744 [2 per cell]
4 Pd 0.000 0.250 0.499 [4 per cell]
5 Pd 0.002 0.250 0.976 [4 per cell]
6 Pd 0.250 0.001 0.626 [4 per cell]

Energy of formation (eV/atom): -0.75